(i)
First-principles (PBE) data for a relaxed LiHgRh crystal, as listed in Alexandria via LeMat-Bulk.

Cell: 7.2080 6.9802 2.8330 Å, 83.04 74.00 22.96°
Closest atoms and distances in Å follow each position.
Fractional positions:
Li  0.0000  0.0000  0.0000  2 Rh 2.54, 4 Li 2.83
Hg  0.6754  0.6754  0.3246  6 Hg 2.83-3.10, 2 Li 2.85, 2 Rh 2.86
Rh  0.3524  0.3524  0.6476  2 Li 2.54, 4 Rh 2.83

Properties
Magnetization ... 0.10 μB per atom
Space-group type ... Fmm2 (42)

***

(ii)
First-principles (PBE) data for a relaxed LiHgRh crystal, as listed in Alexandria via LeMat-Bulk.

Cell: 4.1239 4.1239 4.1239 Å, 60.00 60.00 60.00°
Closest atoms and distances in Å follow each position.
Fractional positions:
Li  0.0000  0.0000  0.0000  4 Hg 2.53, 4 Rh 2.53
Hg  0.7500  0.7500  0.7500  4 Li 2.53
Rh  0.2500  0.2500  0.2500  4 Li 2.53

Properties
Magnetization ... 0.00 μB per atom
Space-group type ... F-43m (216)

***

(iii)
First-principles (PBE) data for a relaxed LiHgRh crystal, as listed in Alexandria via LeMat-Bulk.

Cell: 4.3670 4.3670 2.9126 Å, 90.00 90.00 120.00°
Closest atoms and distances in Å follow each position.
Fractional positions:
Li  0.0000  0.0000  0.0000  3 Rh 2.62, 3 Hg 2.67, 2 Li 2.91
Hg  0.3333  0.6667  0.6959  3 Li 2.67, 6 Rh 2.85-2.98, 2 Hg 2.91
Rh  0.6667  0.3333  0.2415  3 Li 2.62, 3 Hg 2.85, 2 Rh 2.91

Properties
Magnetization ... 0.09 μB per atom
Space-group type ... P3m1 (156)

***

What should be chosen as the most stable of them? Choose (iii).